No. 1
Compound: MnAl2Cr
Source: Alexandria
Functional: GGA-PBE
Structure: optimized geometry

Cell: 5.9696 5.9696 5.9696 Å, 90.00 90.00 90.00°
Space group Fm-3m (No. 225)
Asymmetric unit:
Mn1 0.0000 0.0000 0.0000 x4
Al1 0.2500 0.2500 0.2500 x8
Cr1 0.0000 0.0000 0.5000 x4

Results
total energy: -6.72 eV per atom
crystal system: cubic

No. 2
Compound: SrLi2MgPb2
Source: Alexandria
Functional: GGA-PBE
Structure: optimized geometry

Cell: 4.8357 4.8357 7.6712 Å, 90.00 90.00 120.00°
Space group P-3m1 (No. 164)
Asymmetric unit:
Sr1 0.0000 0.0000 0.0000 x1
Li1 0.3333 0.6667 0.6597 x2
Mg1 0.0000 0.0000 0.5000 x1
Pb1 0.3333 0.6667 0.2753 x2

Results
total energy: -2.76 eV per atom
crystal system: trigonal

No. 3
Compound: AcTmSn2
Source: Alexandria
Functional: GGA-PBE
Structure: optimized geometry

Cell: 4.0774 4.0774 7.1900 Å, 90.00 90.00 90.00°
Space group P4/mmm (No. 123)
Asymmetric unit:
Ac1 0.0000 0.0000 0.0000 x1
Tm1 0.0000 0.0000 0.5000 x1
Sn1 0.5000 0.5000 0.2897 x2

Results
total energy: -4.74 eV per atom
crystal system: tetragonal

No. 4
Compound: Li7IN2
Source: Alexandria
Functional: GGA-PBE
Structure: optimized geometry

Cell: 11.1619 11.1619 11.1619 Å, 90.00 90.00 90.00°
Space group Fd-3m (No. 227, origin choice 2)
Asymmetric unit:
Li1 0.1098 0.3750 0.3750 x48
Li2 0.1250 0.1250 0.6250 x8
I1 0.1250 0.1250 0.1250 x8
N1 0.0000 0.0000 0.0000 x16

Results
relative energy among the computed polymorphs: 779 meV per atom
formation energy from raw total energies: 0.24 eV per atom
crystal system: cubic

No. 5
Compound: CePm2PaN4
Source: Alexandria
Functional: GGA-PBE
Structure: optimized geometry

Cell: 6.1783 3.5731 6.1869 Å, 90.00 109.39 90.00°
Space group P2/m (No. 10)
Asymmetric unit:
Ce1 0.0000 0.0000 0.0000 x1
Pm1 0.5000 0.0000 0.5000 x1
Pm2 0.5000 0.5000 0.0000 x1
Pa1 0.0000 0.5000 0.5000 x1
N1 0.2232 0.0000 0.7288 x2
N2 0.2277 0.5000 0.2577 x2

Results
formation energy from raw total energies: -1.56 eV per atom
crystal system: monoclinic

No. 6
Compound: FeNiTe2
Source: Alexandria
Functional: GGA-PBE
Structure: optimized geometry

Cell: 6.8324 6.8324 6.8324 Å, 90.00 90.00 90.00°
Space group F-43m (No. 216)
Asymmetric unit:
Fe1 0.0000 0.0000 0.0000 x4
Ni1 0.2500 0.2500 0.2500 x4
Te1 0.0000 0.0000 0.5000 x4
Te2 0.2500 0.2500 0.7500 x4

Results
relative energy among the computed polymorphs: 907 meV per atom
formation energy from raw total energies: 0.81 eV per atom
crystal system: cubic

No. 7
Compound: YCd2InB
Source: Alexandria
Functional: GGA-PBE
Structure: optimized geometry

Cell: 4.6882 4.6882 5.1870 Å, 90.00 90.00 90.00°
Space group P4/mmm (No. 123)
Asymmetric unit:
Y1 0.0000 0.0000 0.0000 x1
Cd1 0.0000 0.5000 0.5000 x2
In1 0.5000 0.5000 0.0000 x1
B1 0.0000 0.0000 0.5000 x1

Results
total energy: -3.49 eV per atom
crystal system: tetragonal

No. 8
Compound: Cs2BePtI6
Source: Alexandria
Functional: GGA-PBE
Structure: optimized geometry

Cell: 8.7607 8.7607 11.5779 Å, 90.00 90.00 90.00°
Space group I4/mmm (No. 139)
Asymmetric unit:
Cs1 0.0000 0.5000 0.2500 x4
Be1 0.0000 0.0000 0.0000 x2
Pt1 0.0000 0.0000 0.5000 x2
I1 0.0000 0.0000 0.1907 x4
I2 0.2137 0.2137 0.5000 x8

Results
formation energy from raw total energies: -0.74 eV per atom
crystal system: tetragonal

No. 9
Compound: CsBaAsO4
Source: Alexandria
Functional: GGA-PBE
Structure: optimized geometry

Cell: 7.1023 11.0138 7.9764 Å, 90.00 90.00 90.00°
Space group Cmcm (No. 63)
Asymmetric unit:
Cs1 0.0000 0.0000 0.0000 x4
Ba1 0.0000 0.3332 0.2500 x4
As1 0.0000 0.3605 0.7500 x4
O1 0.0000 0.2705 0.5733 x8
O2 0.1927 0.4578 0.7500 x8

Results
formation energy from raw total energies: -1.96 eV per atom
crystal system: orthorhombic

No. 10
Compound: Pm6Sn12Ge
Source: Alexandria
Functional: GGA-PBE
Structure: optimized geometry

Cell: 12.3784 12.3784 12.2819 Å, 90.00 90.00 120.00°
Space group R-3 (No. 148, hexagonal axes)
Asymmetric unit:
Pm1 0.0009 0.5676 0.2491 x18
Sn1 0.0624 0.8559 0.3465 x18
Sn2 0.0641 0.1974 0.8577 x18
Ge1 0.0000 0.0000 0.5000 x3

Results
total energy: -4.75 eV per atom
crystal system: trigonal

No. 11
Compound: DyHoMgZn
Source: Alexandria
Functional: GGA-PBE
Structure: optimized geometry

Cell: 7.3260 7.3260 7.3260 Å, 90.00 90.00 90.00°
Space group F-43m (No. 216)
Asymmetric unit:
Dy1 0.0000 0.0000 0.0000 x4
Ho1 0.0000 0.0000 0.5000 x4
Mg1 0.2500 0.2500 0.2500 x4
Zn1 0.2500 0.2500 0.7500 x4

Results
relative energy among the computed polymorphs: 32 meV per atom
crystal system: cubic

| no. | ρ (g/cm3) | total magnetization (μB per atom) | DOS(E_F) (states/eV per atom) |
| --- | --- | --- | --- |
| 1 | 5.0 | 1.142 | 0.640 |
| 2 | 5.8 | 0.000 | 0.642 |
| 3 | 8.8 | 0.000 | 0.812 |
| 4 | 1.9 | 0.014 | 0.588 |
| 5 | 9.2 | 0.000 | 0.621 |
| 6 | 7.7 | 0.837 | 1.107 |
| 7 | 6.4 | 0.000 | 0.439 |
| 8 | 4.6 | 0.000 | 0.000 |
| 9 | 4.4 | 0.000 | 0.000 |
| 10 | 7.2 | 0.000 | 0.325 |
| 11 | 7.0 | 0.000 | 1.059 |